## Hf2ZrCo2 (PBE-GGA)

Data for crystalline Hf2ZrCo2 at its relaxed geometry.

N(E_F), states/eV/f.u.: 6.960
Relative energy among the computed polymorphs, meV per atom: 175

abc: 7.6718 7.6718 2.9061
angles: 90.00 90.00 90.00
Last column: nearest neighbours and their distance in Å.
Fractional coordinates of all 10 atoms:
Zr (0.0000, 0.0000, 0.0000)  2 Zr 2.91, 4 Hf 2.94
Zr (0.5000, 0.5000, 0.0000)  2 Zr 2.91, 4 Hf 2.94
Co (0.6483, 0.8517, 0.5000)  6 Hf 2.66-2.69, 2 Co 2.91
Co (0.8517, 0.3517, 0.5000)  6 Hf 2.66-2.69, 2 Co 2.91
Co (0.1483, 0.6483, 0.5000)  6 Hf 2.66-2.69, 2 Co 2.91
Co (0.3517, 0.1483, 0.5000)  6 Hf 2.66-2.69, 2 Co 2.91
Hf (0.6465, 0.1465, 0.0000)  6 Co 2.66-2.69, 2 Hf 2.91, 2 Zr 2.94
Hf (0.8535, 0.6465, 0.0000)  6 Co 2.66-2.69, 2 Hf 2.91, 2 Zr 2.94
Hf (0.3535, 0.8535, 0.0000)  6 Co 2.66-2.69, 2 Hf 2.91, 2 Zr 2.94
Hf (0.1465, 0.3535, 0.0000)  6 Co 2.66-2.69, 2 Hf 2.91, 2 Zr 2.94



## MnReSe2 (PBE-GGA)

Data for crystalline MnReSe2 at its relaxed geometry.

Uncorrected formation energy, eV/atom: 0.00
N(E_F), states/eV/f.u.: 1.853
Relative energy among the computed polymorphs, meV per atom: 133

abc: 9.5238 9.5238 9.5238
angles: 18.96 18.96 18.96
Last column: nearest neighbours and their distance in Å.
Fractional coordinates of all 4 atoms:
Se (0.0276, 0.0276, 0.0276)  3 Re 2.47
Se (0.2214, 0.2214, 0.2214)  3 Mn 2.44
Mn (0.4966, 0.4966, 0.4966)  3 Se 2.44
Re (0.7544, 0.7544, 0.7544)  3 Se 2.47



## Ho2Er3Tm3 (PBE-GGA)

Data for crystalline Ho2Er3Tm3 at its relaxed geometry.

N(E_F), states/eV/f.u.: 14.422
Relative energy among the computed polymorphs, meV per atom: 237

abc: 6.3467 6.3467 6.3467
angles: 89.97 89.97 90.03
Last column: nearest neighbours and their distance in Å.
Fractional coordinates of all 8 atoms:
Ho (0.7496, 0.7496, 0.2504)  6 Tm 3.54-3.55, 6 Er 3.55
Ho (0.2504, 0.2504, 0.7496)  6 Tm 3.54-3.55, 6 Er 3.55
Er (0.0000, 0.2503, 0.2503)  2 Tm 3.17, 4 Ho 3.55
Er (0.7497, 0.0000, 0.7497)  2 Tm 3.17, 4 Ho 3.55
Er (0.2503, 0.7497, 0.0000)  2 Tm 3.17, 4 Ho 3.55
Tm (0.7498, 0.5000, 0.7498)  2 Er 3.17, 4 Ho 3.54-3.55
Tm (0.5000, 0.2502, 0.2502)  2 Er 3.17, 4 Ho 3.54-3.55
Tm (0.2502, 0.7498, 0.5000)  2 Er 3.17, 4 Ho 3.54-3.55



## PaBi3 (PBE-GGA)

Data for crystalline PaBi3 at its relaxed geometry.

N(E_F), states/eV/f.u.: 4.210
Relative energy among the computed polymorphs, meV per atom: 4

abc: 6.6775 6.6775 6.1097
angles: 90.00 90.00 120.00
Last column: nearest neighbours and their distance in Å.
Fractional coordinates of all 8 atoms:
Bi (0.6570, 0.8285, 0.2500)  4 Bi 3.24-3.44, 4 Pa 3.34-3.58
Bi (0.8285, 0.1715, 0.7500)  4 Bi 3.24-3.44, 4 Pa 3.34-3.58
Bi (0.1715, 0.8285, 0.2500)  4 Bi 3.24-3.44, 4 Pa 3.34-3.58
Bi (0.1715, 0.3430, 0.2500)  4 Bi 3.24-3.44, 4 Pa 3.34-3.58
Bi (0.8285, 0.6570, 0.7500)  4 Bi 3.24-3.44, 4 Pa 3.34-3.58
Bi (0.3430, 0.1715, 0.7500)  4 Bi 3.24-3.44, 4 Pa 3.34-3.58
Pa (0.3333, 0.6667, 0.7500)  12 Bi 3.34-3.58
Pa (0.6667, 0.3333, 0.2500)  12 Bi 3.34-3.58